! CoCu2W, optimized geometry, DFT PBE-GGA; values from VASP
! Theoretical density ... 12254 kg/m3
! DOS at the Fermi energy ... 4.0 states/eV per cell
! Total DFT energy (no corrections) ... -6.79 eV/atom
! Total moment ... 0.6 μB per cell
! E_form ... 0.27 eV per atom
! Energy above the lowest structure with this stoichiometry ... 33 kJ/mol of formula units
! V ... 12.530 Å³ per atom
&SYSTEM
  ibrav = 0, nat = 4, ntyp = 3
/
ATOMIC_SPECIES
Co 58.93 Co.upf
Cu 63.55 Cu.upf
W 183.84 W.upf
ATOMIC_POSITIONS crystal
Co 0.250 0.750 0.500
Cu 0.000 0.000 0.000
Cu 0.750 0.250 0.500
W 0.500 0.500 0.000
CELL_PARAMETERS angstrom
-4.075 1.740 0.202
-1.507 0.151 -4.169
1.766 -3.379 2.265